Compound: NpIr2Ru
Source: the Alexandria database
Functional: GGA-PBE
Structure: optimized geometry

POSCAR file:
```
NpIr2Ru
1.0
4.101 0.000 0.000
0.000 3.982 0.000
0.000 0.000 3.982
Np Ru Ir
1 1 2
Direct
0.500 0.500 0.500
0.500 0.000 0.000
0.000 0.000 0.500
0.000 0.500 0.000
```

Results
Final energy, eV/atom: -10.313
DFT formation energy, eV/atom: -0.3281
DOS(E_F), states/eV/f.u.: 6.30